Cr4Co3P6O24 after structural relaxation, computed with GGA+U.

- ρ (g/cm3) = 3.82
- calculated volume (Å³/cell) = 415
- total DFT energy (no corrections) (eV per cell) = -268.73

a b c (Å): 6.3685 7.9637 9.4003
angles (deg): 105.10 108.39 101.63
Atoms (fractional coordinates):
Cr: 0.0492 0.2170 0.0237
Cr: 0.3801 0.9571 0.6093
Cr: 0.6199 0.0429 0.3907
Cr: 0.9508 0.7830 0.9763
Co: 0.0000 0.5000 0.5000
Co: 0.2956 0.3122 0.7949
Co: 0.7044 0.6878 0.2051
P: 0.0937 0.0959 0.3329
P: 0.2219 0.6464 0.2663
P: 0.3915 0.7324 0.8664
P: 0.6085 0.2676 0.1336
P: 0.7781 0.3536 0.7337
P: 0.9063 0.9041 0.6671
O: 0.0104 0.6866 0.1566
O: 0.0699 0.0481 0.1545
O: 0.1163 0.2904 0.4154
O: 0.1209 0.0360 0.6613
O: 0.2083 0.4477 0.2031
O: 0.2221 0.6978 0.4397
O: 0.2483 0.7836 0.9642
O: 0.2681 0.5358 0.7378
O: 0.3145 0.0427 0.4184
O: 0.3703 0.2626 0.0083
O: 0.4486 0.8673 0.7848
O: 0.4530 0.7668 0.2699
O: 0.5470 0.2332 0.7301
O: 0.5514 0.1327 0.2152
O: 0.6297 0.7374 0.9917
O: 0.6855 0.9573 0.5816
O: 0.7319 0.4642 0.2622
O: 0.7517 0.2164 0.0358
O: 0.7779 0.3022 0.5603
O: 0.7917 0.5523 0.7969
O: 0.8791 0.9640 0.3387
O: 0.8837 0.7096 0.5846
O: 0.9301 0.9519 0.8455
O: 0.9896 0.3134 0.8434